# 1
Here is a geometry-optimized Tl3CuI2O8 structure from the Alexandria database. Energies are from GGA-PBE.

Geometry as CIF:
```
data_Tl3CuI2O8
_cell_length_a 6.1918
_cell_length_b 6.1918
_cell_length_c 7.7715
_cell_angle_alpha 90.00
_cell_angle_beta 90.00
_cell_angle_gamma 120.00
_symmetry_space_group_name_H-M 'P -3 m 1'
_symmetry_Int_Tables_number 164
_symmetry_space_group_name_Hall '-P 3 2"'
loop_
_atom_site_label
_atom_site_type_symbol
_atom_site_fract_x
_atom_site_fract_y
_atom_site_fract_z
_atom_site_occupancy
Tl1 Tl 0.0000 0.0000 0.0000 1
Tl2 Tl 0.3333 0.6667 0.7146 1
Cu1 Cu 0.0000 0.0000 0.5000 1
I1 I 0.3333 0.6667 0.2756 1
O1 O 0.1571 0.3141 0.3355 1
O2 O 0.3333 0.6667 0.0367 1
```

E_form (uncorrected) = -7.5 kcal/mol of atoms
Magnetic moment = 0.000 μB per atom
Electronic total energy = -58.49 eV per cell
D(E_F) = 2.4 states/eV per cell

# 2
Here is a geometry-optimized CdFe2RuCl structure from the Alexandria database. Energies are from GGA-PBE.

Geometry as CIF:
```
data_CdFe2RuCl
_cell_length_a 4.497
_cell_length_b 4.497
_cell_length_c 4.717
_cell_angle_alpha 90.00
_cell_angle_beta 90.00
_cell_angle_gamma 90.00
_symmetry_space_group_name_H-M 'P 4/m m m'
_symmetry_Int_Tables_number 123
_symmetry_space_group_name_Hall '-P 4 2'
loop_
_atom_site_label
_atom_site_type_symbol
_atom_site_fract_x
_atom_site_fract_y
_atom_site_fract_z
_atom_site_occupancy
Cd1 Cd 0.000 0.000 0.000 1
Fe1 Fe 0.000 0.500 0.500 1
Ru1 Ru 0.500 0.500 0.500 1
Cl1 Cl 0.500 0.500 0.000 1
```

E_form (uncorrected) = 28.5 kcal/mol of atoms
Magnetic moment = 0.055 μB per atom
Electronic total energy = -22.77 eV per cell
D(E_F) = 11.8 states/eV per cell

# 3
Here is a geometry-optimized Re3BTe structure from the Alexandria database. Energies are from GGA-PBE.

Geometry as CIF:
```
data_Re3BTe
_cell_length_a 4.855
_cell_length_b 4.855
_cell_length_c 4.855
_cell_angle_alpha 90.00
_cell_angle_beta 90.00
_cell_angle_gamma 90.00
_symmetry_space_group_name_H-M 'P m -3 m'
_symmetry_Int_Tables_number 221
_symmetry_space_group_name_Hall '-P 4 2 3'
loop_
_atom_site_label
_atom_site_type_symbol
_atom_site_fract_x
_atom_site_fract_y
_atom_site_fract_z
_atom_site_occupancy
Re1 Re 0.000 0.000 0.500 1
B1 B 0.500 0.500 0.500 1
Te1 Te 0.000 0.000 0.000 1
```

Excess energy over the best structure of this formula in the dataset = 13.703 eV per formula unit
E_form (uncorrected) = 80.7 kcal/mol of atoms
Magnetic moment = 0.608 μB per atom
Electronic total energy = -29.66 eV per cell
D(E_F) = 3.6 states/eV per cell